Entry 1:
Here is a relaxed SbICl8 crystal from Alexandria via LeMat-Bulk. Energies are from PBE.

Results
Formation energy from raw total energies in eV/atom: -0.468
Space group: No. 76

a = 7.658 Å, b = 7.658 Å, c = 24.995 Å
α = 90.00°, β = 90.00°, γ = 90.00°
Fractional positions:
Sb  0.017  0.219  0.000
Sb  0.219  0.983  0.750
Sb  0.781  0.017  0.250
Sb  0.983  0.781  0.500
I  0.136  0.775  0.121
I  0.225  0.136  0.371
I  0.775  0.864  0.871
I  0.864  0.225  0.621
Cl  0.044  0.804  0.694
Cl  0.064  0.919  0.295
Cl  0.081  0.064  0.545
Cl  0.084  0.475  0.951
Cl  0.156  0.238  0.685
Cl  0.196  0.044  0.944
Cl  0.202  0.638  0.551
Cl  0.224  0.376  0.311
Cl  0.235  0.260  0.066
Cl  0.238  0.844  0.435
Cl  0.260  0.765  0.816
Cl  0.289  0.612  0.187
Cl  0.362  0.202  0.801
Cl  0.376  0.776  0.061
Cl  0.388  0.289  0.437
Cl  0.475  0.916  0.701
Cl  0.525  0.084  0.201
Cl  0.612  0.711  0.937
Cl  0.624  0.224  0.561
Cl  0.638  0.798  0.301
Cl  0.711  0.388  0.687
Cl  0.740  0.235  0.316
Cl  0.762  0.156  0.935
Cl  0.765  0.740  0.566
Cl  0.776  0.624  0.811
Cl  0.798  0.362  0.051
Cl  0.804  0.956  0.444
Cl  0.844  0.762  0.185
Cl  0.916  0.525  0.451
Cl  0.919  0.936  0.045
Cl  0.936  0.081  0.795
Cl  0.956  0.196  0.194


Entry 2:
Here is a relaxed PrGePd2Pt2 crystal from Alexandria via LeMat-Bulk. Energies are from PBE.

Results
Calculated formation energy in eV/f.u.: -1.27
Space group: No. 123

a = 4.726 Å, b = 4.726 Å, c = 5.659 Å
α = 90.00°, β = 90.00°, γ = 90.00°
Fractional positions:
Pr  0.000  0.000  0.000
Ge  0.000  0.000  0.500
Pd  0.500  0.500  0.242
Pd  0.500  0.500  0.758
Pt  0.000  0.500  0.500
Pt  0.500  0.000  0.500


Entry 3:
Here is a relaxed LaPm2Br6 crystal from Alexandria via LeMat-Bulk. Energies are from PBE.

Results
Formation energy from raw total energies in eV/atom: -1.685
Space group: No. 12
Excess energy over the best structure of this formula in the dataset in meV per atom: 0

a = 8.386 Å, b = 8.386 Å, c = 10.924 Å
α = 113.55°, β = 113.55°, γ = 27.69°
Fractional positions:
La  0.000  0.000  0.000
Pm  0.323  0.323  0.651
Pm  0.677  0.677  0.349
Br  0.029  0.029  0.290
Br  0.317  0.317  0.377
Br  0.349  0.349  0.942
Br  0.651  0.651  0.058
Br  0.683  0.683  0.623
Br  0.971  0.971  0.710


Entry 4:
Here is a relaxed AlCr2Co crystal from Alexandria via LeMat-Bulk. Energies are from PBE.

Results
Calculated formation energy in eV/f.u.: 0.12
Space group: No. 8

a = 4.331 Å, b = 4.331 Å, c = 4.607 Å
α = 95.99°, β = 95.99°, γ = 33.91°
Fractional positions:
Al  0.000  0.000  0.000
Cr  0.523  0.523  0.506
Cr  0.755  0.755  0.282
Co  0.255  0.255  0.785


Entry 5:
Here is a relaxed Tb4Pm7Mg crystal from Alexandria via LeMat-Bulk. Energies are from PBE.

Results
Calculated formation energy in eV/f.u.: 2.35
Space group: No. 12

a = 6.272 Å, b = 6.272 Å, c = 13.232 Å
α = 104.24°, β = 104.24°, γ = 52.74°
Fractional positions:
Tb  0.043  0.043  0.279
Tb  0.409  0.409  0.871
Tb  0.591  0.591  0.129
Tb  0.957  0.957  0.721
Pm  0.000  0.000  0.500
Pm  0.140  0.140  0.970
Pm  0.275  0.275  0.602
Pm  0.337  0.337  0.246
Pm  0.663  0.663  0.754
Pm  0.725  0.725  0.398
Pm  0.860  0.860  0.030
Mg  0.500  0.500  0.500


Entry 6:
Here is a relaxed Zn2RhW crystal from Alexandria via LeMat-Bulk. Energies are from PBE.

Results
Calculated formation energy in eV/f.u.: -0.41
Space group: No. 99
Excess energy over the best structure of this formula in the dataset in meV per atom: 0

a = 2.862 Å, b = 2.862 Å, c = 7.125 Å
α = 90.00°, β = 90.00°, γ = 90.00°
Fractional positions:
Zn  0.000  0.000  0.000
Zn  0.500  0.500  0.248
Rh  0.000  0.000  0.489
W  0.500  0.500  0.736


Number 1: total magnetic moment 0.000 μB per atom, final energy -2.51 eV/atom. Number 2: total magnetic moment 0.000 μB per atom, final energy -5.52 eV/atom. Number 3: total magnetic moment 0.000 μB per atom, final energy -4.40 eV/atom. Number 4: total magnetic moment 0.000 μB per atom, final energy -7.49 eV/atom. Number 5: total magnetic moment 0.000 μB per atom, final energy -4.25 eV/atom. Number 6: total magnetic moment 0.000 μB per atom, final energy -5.82 eV/atom.